A relaxed InAg5F8 crystal, computed with PBE-GGA.

**V**: 238 Å³/f.u.
**Symmetry**: C2 (5)
**E**: -0.1357 Ha/atom
**ΔE_f (raw)**: -1.41 eV per atom

Structure (POSCAR):
```
InAg5F8
1.0
6.112 0.561 -1.644
-3.050 4.945 -2.572
0.720 -0.015 7.319
In F Ag
1 8 5
Direct
0.374 0.874 0.500
0.138 0.865 0.255
0.662 0.297 0.207
0.610 0.883 0.745
0.147 0.904 0.683
0.602 0.847 0.317
0.090 0.455 0.793
0.221 0.464 0.317
0.530 0.285 0.683
0.374 0.877 0.001
0.777 0.569 0.597
0.376 0.376 0.000
0.876 0.373 0.999
0.972 0.181 0.403
```

***

A relaxed YZr2Co crystal, computed with PBE-GGA.

**Formation enthalpy at 0 K**: 0.067 eV per atom
**V**: 91 Å³/f.u.
**Symmetry**: R-3m (166)
**DOS at the Fermi energy**: 6.5 states/eV/f.u.
**E**: -0.2793 Ha/atom

Structure (POSCAR):
```
YZr2Co
1.0
-4.741 -7.900 -1.154
-2.943 -8.652 1.644
-5.875 -6.932 1.912
Y Zr Co
1 2 1
Direct
0.750 0.750 0.750
0.977 0.977 0.977
0.523 0.523 0.523
0.250 0.250 0.250
```

***

A relaxed EuTlTeCl crystal, computed with PBE-GGA.

**V**: 122 Å³/f.u.
**Symmetry**: F-43m (216)
**DOS at the Fermi energy**: 1.4 states/eV/f.u.
**E**: -0.2071 Ha/atom
**ΔE_f (raw)**: -1.23 eV per atom

Structure (POSCAR):
```
EuTlTeCl
1.0
-5.328 1.610 0.241
-3.154 -1.451 4.358
-1.581 3.854 3.700
Tl Eu Te Cl
1 1 1 1
Direct
0.250 0.250 0.250
0.750 0.750 0.750
0.500 0.500 0.500
0.000 0.000 0.000
```

***

A relaxed Cs2NdF5 crystal, computed with PBE-GGA.

**V**: 176 Å³/f.u.
**Symmetry**: Pnma (62)
**DOS at the Fermi energy**: 0.0 states/eV/f.u.
**E**: -0.1990 Ha/atom
**ΔE_f (raw)**: -3.43 eV per atom

Structure (POSCAR):
```
Cs2NdF5
1.0
-3.484 -0.063 -6.440
1.927 -7.578 -0.968
-10.310 -3.338 5.609
Cs F Nd
8 20 4
Direct
0.962 0.002 0.671
0.962 0.498 0.671
0.462 0.502 0.829
0.462 0.998 0.829
0.038 0.998 0.329
0.538 0.498 0.171
0.038 0.502 0.329
0.538 0.002 0.171
0.858 0.034 0.934
0.882 0.250 0.161
0.858 0.466 0.934
0.132 0.250 0.517
0.642 0.034 0.434
0.868 0.750 0.483
0.368 0.250 0.017
0.855 0.750 0.178
0.355 0.250 0.322
0.642 0.466 0.434
0.118 0.750 0.839
0.358 0.966 0.566
0.142 0.966 0.066
0.645 0.750 0.678
0.142 0.534 0.066
0.382 0.750 0.339
0.632 0.750 0.983
0.145 0.250 0.822
0.358 0.534 0.566
0.618 0.250 0.661
0.947 0.750 0.996
0.553 0.750 0.496
0.447 0.250 0.504
0.053 0.250 0.004
```

***

A relaxed KTc2Pb crystal, computed with PBE-GGA.

**Formation enthalpy at 0 K**: 1.414 eV per atom
**V**: 83 Å³/f.u.
**Symmetry**: Pmmm (47)
**DOS at the Fermi energy**: 5.0 states/eV/f.u.
**E**: -0.1826 Ha/atom

Structure (POSCAR):
```
KTc2Pb
1.0
-1.286 -0.268 -2.945
2.203 -4.669 -0.537
-4.011 -2.116 1.944
Tc K Pb
2 1 1
Direct
0.500 0.500 0.000
0.000 0.000 0.000
0.500 0.000 0.500
0.000 0.500 0.500
```

***

A relaxed AlCdTe2 crystal, computed with PBE-GGA.

**V**: 139 Å³/f.u.
**Symmetry**: Cmmm (65)
**DOS at the Fermi energy**: 0.8 states/eV/f.u.
**E**: -0.1019 Ha/atom
**ΔE_f (raw)**: -0.04 eV per atom

Structure (POSCAR):
```
AlCdTe2
1.0
4.690 -0.336 0.000
-2.735 3.824 0.000
0.000 0.000 8.189
Al Te Cd
1 2 1
Direct
0.500 0.500 0.250
0.000 0.000 0.020
0.000 0.000 0.480
0.500 0.500 0.750
```

***

A relaxed Na2CaAu2 crystal, computed with PBE-GGA.

**Formation enthalpy at 0 K**: -0.345 eV per atom
**V**: 129 Å³/f.u.
**Symmetry**: P2_1/m (11)
**DOS at the Fermi energy**: 1.5 states/eV/f.u.
**E**: -0.0950 Ha/atom

Structure (POSCAR):
```
Na2CaAu2
1.0
-1.522 -2.862 -1.291
4.957 -2.325 -0.690
-3.204 -3.998 12.639
Na Au Ca
4 4 2
Direct
0.750 0.747 0.508
0.750 0.179 0.102
0.250 0.253 0.492
0.250 0.821 0.898
0.250 0.337 0.929
0.750 0.322 0.319
0.250 0.678 0.681
0.750 0.663 0.071
0.250 0.769 0.258
0.750 0.231 0.742
```

***

A relaxed Pm2BeSi3Pt4 crystal, computed with PBE-GGA.

**V**: 175 Å³/f.u.
**Symmetry**: P-4m2 (115)
**DOS at the Fermi energy**: 5.2 states/eV/f.u.
**E**: -0.2366 Ha/atom
**ΔE_f (raw)**: -1.07 eV per atom

Structure (POSCAR):
```
Pm2BeSi3Pt4
1.0
4.208 0.000 0.000
0.000 4.208 0.000
0.000 0.000 9.865
Pt Si Be Pm
4 3 1 2
Direct
0.000 0.000 0.000
0.000 0.500 0.379
0.500 0.500 0.000
0.500 0.000 0.621
0.500 0.000 0.864
0.000 0.500 0.136
0.000 0.000 0.500
0.500 0.500 0.500
0.000 0.500 0.741
0.500 0.000 0.259
```